A plane-wave DFT calculation with PBE was carried out for an optimized crystal structure of BaTaTl.

Unit cell a=5.1708 b=5.1708 c=5.1708 alpha=60.00 beta=60.00 gamma=60.00
Element x y z (fractional)
Ba 0.0000 0.0000 0.0000
Ta 0.2500 0.2500 0.2500
Tl 0.5000 0.5000 0.5000

For the formation energy, the calculation gives 1.19 eV/atom. The value obtained for the total magnetization is 2.08 μB per formula unit. The calculated total energy is -4.186 eV per atom.